First-principles (PBE) data for RbBa2S after structural relaxation, as listed in the Alexandria database.

Computed properties:
Uncorrected energy, eV per atom: -3.1327
D(E_F), states/eV per cell: 3.096

abc: 4.4774 4.4774 12.8982
angles: 80.00 80.00 60.00
Fractional positions:
1 Ba 0.1185 0.1185 0.6444
2 Ba 0.8815 0.8815 0.3556
3 S 0.5000 0.5000 0.5000
4 Rb 0.0000 0.0000 0.0000

=====

First-principles (PBE) data for CsBaI2N after structural relaxation, as listed in the Alexandria database.

Computed properties:
Energy above the lowest structure with this stoichiometry, meV per atom: 654
D(E_F), states/eV per cell: 3.122

abc: 6.8747 6.8747 4.8392
angles: 90.00 90.00 90.00
Fractional positions:
1 N 0.0000 0.0000 0.5000
2 I 0.5000 0.0000 0.0000
3 Cs 0.0000 0.0000 0.0000
4 I 0.0000 0.5000 0.0000
5 Ba 0.5000 0.5000 0.5000

=====

First-principles (PBE) data for Ho2NpGe2Rh5 after structural relaxation, as listed in the Alexandria database.

Computed properties:
D(E_F), states/eV per cell: 18.151
Formation enthalpy at 0 K, eV/atom: -0.73

abc: 3.7202 9.8183 9.8183
angles: 90.00 90.00 90.00
Fractional positions:
1 Rh 0.5000 0.5000 0.0000
2 Rh 0.5000 0.0000 0.5000
3 Np 0.0000 0.0000 0.0000
4 Rh 0.5000 0.0682 0.7902
5 Rh 0.5000 0.2098 0.0682
6 Rh 0.5000 0.9318 0.2098
7 Rh 0.5000 0.5682 0.7098
8 Rh 0.5000 0.2902 0.5682
9 Rh 0.5000 0.7902 0.9318
10 Np 0.0000 0.5000 0.5000
11 Ge 0.0000 0.3742 0.1258
12 Rh 0.5000 0.4318 0.2902
13 Ge 0.0000 0.8742 0.3742
14 Ge 0.0000 0.1258 0.6258
15 Ho 0.0000 0.6708 0.1708
16 Ho 0.0000 0.8292 0.6708
17 Ho 0.0000 0.1708 0.3292
18 Ge 0.0000 0.6258 0.8742
19 Rh 0.5000 0.7098 0.4318
20 Ho 0.0000 0.3292 0.8292

=====

First-principles (PBE) data for AlAsN2 after structural relaxation, as listed in the Alexandria database.

Computed properties:
Energy above the lowest structure with this stoichiometry, meV per atom: 64
D(E_F), states/eV per cell: 1.667

abc: 4.7635 4.7635 5.6977
angles: 65.29 65.29 90.00
Fractional positions:
1 As 0.0000 0.0000 0.0000
2 Al 0.5000 0.5000 0.0000
3 N 0.3750 0.4263 0.7500
4 Al 0.2500 0.7500 0.5000
5 N 0.5737 0.1250 0.2500
6 As 0.7500 0.2500 0.5000
7 N 0.8750 0.8237 0.7500
8 N 0.1763 0.6250 0.2500

=====

First-principles (PBE) data for Ce2SiTcC after structural relaxation, as listed in the Alexandria database.

Computed properties:
Uncorrected energy, eV per atom: -7.6916
D(E_F), states/eV per cell: 13.130

abc: 3.9247 6.7344 8.3678
angles: 115.09 90.00 90.00
Fractional positions:
1 Tc 0.7500 0.5028 0.2930
2 Ce 0.7500 0.8000 0.5995
3 C 0.2500 0.8245 0.8179
4 Si 0.2500 0.7027 0.2708
5 C 0.7500 0.1755 0.1821
6 Si 0.7500 0.2973 0.7292
7 Tc 0.2500 0.4972 0.7070
8 Ce 0.2500 0.2000 0.4005
9 Ce 0.2500 0.2229 0.9816
10 Ce 0.7500 0.7771 0.0184

=====

First-principles (PBE) data for Pr4Se5F after structural relaxation, as listed in the Alexandria database.

Computed properties:
Uncorrected energy, eV per atom: -5.8113
D(E_F), states/eV per cell: 2.627

abc: 4.1399 7.7490 10.2299
angles: 112.42 101.67 90.00
Fractional positions:
1 Pr 0.7207 0.2205 0.4415
2 Pr 0.2793 0.7795 0.5585
3 Se 0.8392 0.0784 0.6783
4 Se 0.1608 0.3987 0.3215
5 Se 0.8392 0.6013 0.6785
6 Pr 0.0000 0.7569 0.0000
7 Se 0.1608 0.9216 0.3217
8 F 0.5000 0.0000 0.0000
9 Pr 0.0000 0.2431 0.0000
10 Se 0.5000 0.5000 0.0000

=====

First-principles (PBE) data for Y2PtF2 after structural relaxation, as listed in the Alexandria database.

Computed properties:
Energy above the lowest structure with this stoichiometry, meV per atom: 28
D(E_F), states/eV per cell: 5.818

abc: 7.4376 7.4376 2.9487
angles: 90.00 90.00 90.00
Fractional positions:
1 F 0.1122 0.3878 0.0000
2 Y 0.8100 0.3100 0.5000
3 Y 0.3100 0.1900 0.5000
4 F 0.8878 0.6122 0.0000
5 F 0.3878 0.8878 0.0000
6 Pt 0.0000 0.0000 0.0000
7 Y 0.6900 0.8100 0.5000
8 Y 0.1900 0.6900 0.5000
9 F 0.6122 0.1122 0.0000
10 Pt 0.5000 0.5000 0.0000

=====

First-principles (PBE) data for PmMn10Si2 after structural relaxation, as listed in the Alexandria database.

Computed properties:
Uncorrected energy, eV per atom: -8.4091
D(E_F), states/eV per cell: 28.958

abc: 6.3702 6.3702 8.1209
angles: 90.00 90.00 98.84
Fractional positions:
1 Si 0.5000 0.0000 0.0000
2 Mn 0.8760 0.6284 0.7500
3 Mn 0.2200 0.2200 0.0000
4 Pm 0.1275 0.8725 0.2500
5 Mn 0.8228 0.1772 0.3889
6 Pm 0.8725 0.1275 0.7500
7 Si 0.5000 0.0000 0.5000
8 Mn 0.1240 0.3716 0.2500
9 Mn 0.5250 0.7426 0.7500
10 Mn 0.7800 0.7800 0.0000
11 Mn 0.7426 0.5250 0.2500
12 Mn 0.2200 0.2200 0.5000
13 Mn 0.6007 0.3993 0.5666
14 Mn 0.4750 0.2574 0.2500
15 Mn 0.6007 0.3993 0.9334
16 Mn 0.7800 0.7800 0.5000
17 Mn 0.3993 0.6007 0.4334
18 Si 0.0000 0.5000 0.0000
19 Si 0.0000 0.5000 0.5000
20 Mn 0.3716 0.1240 0.7500
21 Mn 0.1772 0.8228 0.8889
22 Mn 0.3993 0.6007 0.0666
23 Mn 0.1772 0.8228 0.6111
24 Mn 0.8228 0.1772 0.1111
25 Mn 0.6284 0.8760 0.2500
26 Mn 0.2574 0.4750 0.7500